Here is a geometry-optimized Sr3TeO6 structure from Alexandria. Energies are from GGA-PBE.

Calculated values
Its space group is Cmc2_1. For the total energy, the calculation gives -5.863 eV/atom. The calculation puts the uncorrected formation energy at -2.069 eV per atom.

Structure (extended XYZ):
```
20
Lattice="4.970 -6.169 0.000 4.970 6.169 0.000 0.000 0.000 6.281" Properties=species:S:1:pos:R:3 pbc="T T T"
Sr 4.970 5.135 3.140
Sr 2.788 1.230 3.108
Sr 2.788 -1.230 6.249
Sr 7.151 1.230 3.108
Sr 7.151 -1.230 6.249
Sr 4.970 -5.135 0.000
Te 4.970 2.135 6.212
Te 4.970 -2.135 3.072
O 3.487 2.801 0.818
O 1.595 0.027 4.708
O 1.595 -0.027 1.567
O 4.970 2.613 4.407
O 6.452 2.801 0.818
O 4.970 0.290 0.056
O 4.970 -0.290 3.197
O 3.487 -2.801 3.958
O 4.970 -2.613 1.267
O 8.344 0.027 4.708
O 8.344 -0.027 1.567
O 6.452 -2.801 3.958
```


Here is a geometry-optimized Sr3TeO6 structure from Alexandria. Energies are from GGA-PBE.

Calculated values
Its space group is Ia-3. For the total energy, the calculation gives -6.072 eV/atom. The calculation puts the uncorrected formation energy at -2.279 eV per atom.

Structure (extended XYZ):
```
80
Lattice="-6.877 6.877 6.877 6.877 -6.877 6.877 6.877 6.877 -6.877" Properties=species:S:1:pos:R:3 pbc="T T T"
Sr 7.258 5.163 -3.841
Sr 10.718 -0.382 1.714
Sr 3.841 0.382 1.714
Sr 7.258 -1.714 3.841
Sr 8.590 3.035 -0.382
Sr 5.163 -3.841 7.258
Sr 5.163 3.841 -0.382
Sr 1.714 3.841 0.382
Sr 7.258 1.714 3.035
Sr 3.841 -0.382 5.163
Sr 3.841 7.258 -1.714
Sr 0.382 1.714 3.841
Sr 6.495 5.163 3.035
Sr 3.035 -0.382 8.590
Sr 3.035 7.258 1.714
Sr -0.382 5.163 3.841
Sr 5.163 3.035 6.495
Sr 1.714 3.035 7.258
Sr 1.714 10.718 -0.382
Sr -1.714 3.841 7.258
Sr -0.382 8.590 3.035
Sr 3.035 6.495 5.163
Sr -3.841 7.258 5.163
Sr -0.382 1.714 10.718
Te 0.000 0.000 0.000
Te 3.438 3.438 -3.438
Te 3.438 -3.438 3.438
Te 6.877 0.000 0.000
Te -3.438 3.438 3.438
Te 0.000 6.877 0.000
Te 0.000 0.000 6.877
Te 3.438 3.438 3.438
O 11.862 0.398 -0.385
O 8.420 3.120 -3.001
O 5.333 3.757 -3.001
O 8.768 0.398 0.385
O 3.120 3.001 -1.544
O 7.262 -4.985 6.479
O 6.479 -0.385 1.891
O 3.001 -1.544 3.120
O 9.877 -1.544 3.757
O 6.479 7.262 -4.985
O 6.492 1.891 0.398
O 3.757 -3.001 5.333
O 3.757 3.001 1.544
O 6.479 6.492 -1.891
O 6.492 -1.891 6.479
O 9.877 1.544 3.120
O 3.001 1.544 3.757
O 6.479 0.385 4.985
O 7.262 4.985 0.398
O 3.120 -3.001 8.420
O 1.891 6.479 -0.385
O -1.544 3.120 3.001
O 1.544 3.757 3.001
O 4.985 6.479 0.385
O 1.891 0.398 6.492
O 5.333 3.120 3.876
O 8.420 3.757 3.876
O 4.985 0.398 7.262
O 3.757 9.877 -1.544
O -0.385 1.891 6.479
O 0.398 6.492 1.891
O 3.876 5.333 3.120
O -3.001 5.333 3.757
O 0.385 8.768 0.398
O 0.398 0.385 8.768
O 3.120 3.876 5.333
O 3.120 9.877 1.544
O 0.385 4.985 6.479
O 0.398 -0.385 11.862
O -3.001 8.420 3.120
O 3.876 8.420 3.757
O 0.398 7.262 4.985
O -0.385 11.862 0.398
O 3.757 3.876 8.420
O -1.891 6.479 6.492
O 1.544 3.120 9.877
O -1.544 3.757 9.877
O -4.985 6.479 7.262
```